A plane-wave DFT calculation with PBE-GGA was carried out for a relaxed Li2ReHg crystal.

a b c (Å): 2.7025 2.7025 9.2315
angles (deg): 90.00 90.00 105.50
Last column: nearest neighbours and their distance in Å.
Fractional positions:
Li  0.0000  0.0000  0.4857  4 Li 2.70, 2 Re 2.72, 2 Hg 2.94
Re  0.5000  0.5000  0.2500  4 Re 2.70, 4 Li 2.72
Hg  0.5000  0.5000  0.7500  4 Hg 2.70, 4 Li 2.94
Li  0.0000  0.0000  0.0143  4 Li 2.70, 2 Re 2.72, 2 Hg 2.94

The calculation puts the formation energy from the elements at 0.19 eV per atom. The value obtained for the volume is 16.2 Å³/atom. Its density of states at the Fermi level is 2.6 states/eV per cell.